(1)
Density functional theory data (GGA-PBEsol) for crystalline In2TcIr at its relaxed geometry.

Output
Space-group type: F-43m
N(E_F) in states/eV/f.u.: 4.99
Energy of formation in eV per atom: 0.45

Lattice parameters (Å, degrees): 6.4688 6.4688 6.4688 90.00 90.00 90.00
Atoms (fractional coordinates):
In: 0.0000 0.0000 0.0000
In: 0.0000 0.5000 0.5000
In: 0.2500 0.2500 0.2500
In: 0.2500 0.7500 0.7500
In: 0.5000 0.0000 0.5000
In: 0.5000 0.5000 0.0000
In: 0.7500 0.2500 0.7500
In: 0.7500 0.7500 0.2500
Tc: 0.0000 0.0000 0.5000
Tc: 0.0000 0.5000 0.0000
Tc: 0.5000 0.0000 0.0000
Tc: 0.5000 0.5000 0.5000
Ir: 0.2500 0.2500 0.7500
Ir: 0.2500 0.7500 0.2500
Ir: 0.7500 0.2500 0.2500
Ir: 0.7500 0.7500 0.7500



(2)
Density functional theory data (GGA-PBEsol) for crystalline Os3PdF at its relaxed geometry.

Output
Space-group type: Pm-3m
N(E_F) in states/eV/f.u.: 7.35
Formation energy from raw total energies in eV per atom: 1.658

Lattice parameters (Å, degrees): 4.1366 4.1366 4.1366 90.00 90.00 90.00
Atoms (fractional coordinates):
Os: 0.0000 0.0000 0.5000
Os: 0.0000 0.5000 0.0000
Os: 0.5000 0.0000 0.0000
Pd: 0.5000 0.5000 0.5000
F: 0.0000 0.0000 0.0000



(3)
Density functional theory data (GGA-PBEsol) for crystalline ZrAgMo at its relaxed geometry.

Output
Space-group type: Imm2
N(E_F) in states/eV/f.u.: 2.46
Energy of formation in eV per atom: 0.31

Lattice parameters (Å, degrees): 2.9500 3.8303 9.4801 90.00 90.00 90.00
Atoms (fractional coordinates):
Zr: 0.0000 0.0000 0.0000
Zr: 0.5000 0.5000 0.5000
Ag: 0.0000 0.0000 0.6782
Ag: 0.5000 0.5000 0.1782
Mo: 0.0000 0.0000 0.3384
Mo: 0.5000 0.5000 0.8384



(4)
Density functional theory data (GGA-PBEsol) for crystalline MoOs2W at its relaxed geometry.

Output
Space-group type: P4/mmm
N(E_F) in states/eV/f.u.: 3.61
Energy of formation in eV per atom: 0.07

Lattice parameters (Å, degrees): 3.9075 3.9075 3.8586 90.00 90.00 90.00
Atoms (fractional coordinates):
Mo: 0.0000 0.0000 0.0000
Os: 0.0000 0.5000 0.5000
Os: 0.5000 0.0000 0.5000
W: 0.5000 0.5000 0.0000



(5)
Density functional theory data (GGA-PBEsol) for crystalline PrCdAg2 at its relaxed geometry.

Output
Space-group type: Fm-3m
N(E_F) in states/eV/f.u.: 3.67
Energy of formation in eV per atom: -0.26

Lattice parameters (Å, degrees): 7.0216 7.0216 7.0216 90.00 90.00 90.00
Atoms (fractional coordinates):
Pr: 0.0000 0.0000 0.0000
Pr: 0.0000 0.5000 0.5000
Pr: 0.5000 0.0000 0.5000
Pr: 0.5000 0.5000 0.0000
Cd: 0.0000 0.0000 0.5000
Cd: 0.0000 0.5000 0.0000
Cd: 0.5000 0.0000 0.0000
Cd: 0.5000 0.5000 0.5000
Ag: 0.2500 0.2500 0.2500
Ag: 0.2500 0.2500 0.7500
Ag: 0.2500 0.7500 0.2500
Ag: 0.2500 0.7500 0.7500
Ag: 0.7500 0.2500 0.2500
Ag: 0.7500 0.2500 0.7500
Ag: 0.7500 0.7500 0.2500
Ag: 0.7500 0.7500 0.7500



(6)
Density functional theory data (GGA-PBEsol) for crystalline Tc2C at its relaxed geometry.

Output
Space-group type: P4/nmm
N(E_F) in states/eV/f.u.: 1.61
Distance to the lowest polymorph of the same formula in eV per atom: 0.329
Energy of formation in eV per atom: 0.31

Lattice parameters (Å, degrees): 3.9204 3.9204 4.5469 90.00 90.00 90.00
Atoms (fractional coordinates):
Tc: 0.2500 0.2500 0.0687
Tc: 0.2500 0.7500 0.5000
Tc: 0.7500 0.2500 0.5000
Tc: 0.7500 0.7500 0.9313
C: 0.2500 0.2500 0.6476
C: 0.7500 0.7500 0.3524



(7)
Density functional theory data (GGA-PBEsol) for crystalline KPCl at its relaxed geometry.

Output
Space-group type: F-43m
Formation energy from raw total energies in eV per atom: 0.052

Lattice parameters (Å, degrees): 7.3500 7.3500 7.3500 90.00 90.00 90.00
Atoms (fractional coordinates):
K: 0.0000 0.0000 0.0000
K: 0.0000 0.5000 0.5000
K: 0.5000 0.0000 0.5000
K: 0.5000 0.5000 0.0000
P: 0.0000 0.0000 0.5000
P: 0.0000 0.5000 0.0000
P: 0.5000 0.0000 0.0000
P: 0.5000 0.5000 0.5000
Cl: 0.2500 0.2500 0.7500
Cl: 0.2500 0.7500 0.2500
Cl: 0.7500 0.2500 0.2500
Cl: 0.7500 0.7500 0.7500



(8)
Density functional theory data (GGA-PBEsol) for crystalline NbInO2F at its relaxed geometry.

Output
Space-group type: P4/mmm
N(E_F) in states/eV/f.u.: 0.92
Formation energy from raw total energies in eV per atom: -1.706

Lattice parameters (Å, degrees): 3.8465 3.8465 5.9757 90.00 90.00 90.00
Atoms (fractional coordinates):
Nb: 0.0000 0.0000 0.0000
In: 0.0000 0.0000 0.5000
O: 0.0000 0.5000 0.0000
O: 0.5000 0.0000 0.0000
F: 0.5000 0.5000 0.5000



no.,energy (eV per atom)
1,-6.3163
2,-7.2487
3,-7.7448
4,-12.4346
5,-3.5126
6,-10.4184
7,-2.9254
8,-6.9520